No. 1
{"formula": "SrCaRh4", "functional": "GGA-PBEsol", "state": "optimized geometry", "lattice": [[-2.271, 4.795, -0.414], [-2.745, 1.275, -4.377], [-5.297, 0.463, 0.222]], "species": ["Rh", "Rh", "Rh", "Rh", "Ca", "Sr"], "fractional_positions": [[0.876, 0.375, 0.375], [0.375, 0.876, 0.375], [0.375, 0.375, 0.375], [0.375, 0.375, 0.876], [0.000, 0.000, 0.000], [0.750, 0.750, 0.750]], "m_tot_mub_per_cell": 0.0, "total_energy_ev_per_atom": -6.36}



No. 2
{"formula": "SrCaRh", "functional": "GGA-PBEsol", "state": "optimized geometry", "lattice": [[3.527, 0.029, 0.000], [-0.027, 3.527, 0.000], [-1.750, -1.778, 6.843]], "species": ["Sr", "Ca", "Rh"], "fractional_positions": [[0.709, 0.709, 0.417], [0.952, 0.952, 0.904], [0.339, 0.339, 0.678]], "m_tot_mub_per_cell": 0.0, "total_energy_ev_per_atom": -4.19}



No. 3
{"formula": "Sr2CaTaRh", "functional": "GGA-PBEsol", "state": "optimized geometry", "lattice": [[-4.928, -1.790, -1.116], [-0.939, -0.819, 5.460], [-1.994, 5.215, 0.439]], "species": ["Ca", "Rh", "Sr", "Sr", "Ta"], "fractional_positions": [[0.500, 0.000, 0.000], [0.500, 0.500, 0.500], [0.000, 0.500, 0.000], [0.000, 0.000, 0.500], [0.000, 0.000, 0.000]], "m_tot_mub_per_cell": 1.7, "total_energy_ev_per_atom": -3.65}